Entry 1:
# Li2NiOs

Li2NiOs after structural relaxation (PBE, the Alexandria database).

The space group is No. 123. For the density of states at the Fermi level, the calculation gives 1.346 states/eV/atom. The calculation puts the energy of formation at 0.238 eV/atom. For the relative energy among the computed polymorphs, the calculation gives 189 meV/atom. Its final energy is -4.972 eV per atom.

Cell lengths 2.505, 2.505, 8.285 Å; angles 90.00, 90.00, 90.00 degrees
Sites, in units of the cell vectors:
Li: 0.000 0.000 0.236
Li: 0.000 0.000 0.764
Ni: 0.500 0.500 0.000
Os: 0.500 0.500 0.500

Entry 2:
# Te2IrBr

Te2IrBr after structural relaxation (PBE, the Alexandria database).

The space group is No. 123. For the density of states at the Fermi level, the calculation gives 0.975 states/eV/atom. The energy relative to the elements, uncorrected comes out at 964 meV per atom. For the relative energy among the computed polymorphs, the calculation gives 1228 meV/atom. Its final energy is -3.241 eV per atom.

Cell lengths 4.302, 4.302, 4.925 Å; angles 90.00, 90.00, 90.00 degrees
Sites, in units of the cell vectors:
Te: 0.000 0.500 0.000
Te: 0.500 0.000 0.000
Ir: 0.000 0.000 0.500
Br: 0.500 0.500 0.500

Entry 3:
# CePaS4

CePaS4 after structural relaxation (PBE, the Alexandria database).

The space group is No. 166. For the density of states at the Fermi level, the calculation gives 1.136 states/eV/atom. The energy relative to the elements, uncorrected comes out at -1658 meV per atom. For the relative energy among the computed polymorphs, the calculation gives 5 meV/atom. Its final energy is -6.981 eV per atom.

Cell lengths 8.785, 8.785, 8.785 Å; angles 29.47, 29.47, 29.47 degrees
Sites, in units of the cell vectors:
Ce: 0.000 0.000 0.000
Pa: 0.500 0.500 0.500
S: 0.201 0.201 0.201
S: 0.384 0.384 0.384
S: 0.616 0.616 0.616
S: 0.799 0.799 0.799

Entry 4:
# SmCuGe2Rh

SmCuGe2Rh after structural relaxation (PBE, the Alexandria database).

The space group is No. 119. For the density of states at the Fermi level, the calculation gives 0.607 states/eV/atom. The calculation puts the energy of formation at -0.661 eV/atom. Its final energy is -5.742 eV per atom.

Cell lengths 5.933, 5.933, 5.933 Å; angles 138.71, 138.71, 59.81 degrees
Sites, in units of the cell vectors:
Sm: 0.000 0.000 0.000
Cu: 0.250 0.750 0.500
Ge: 0.377 0.377 0.000
Ge: 0.623 0.623 0.000
Rh: 0.750 0.250 0.500

Entry 5:
# BaYMnTe4

BaYMnTe4 after structural relaxation (PBE, the Alexandria database).

The space group is No. 11. For the density of states at the Fermi level, the calculation gives 0.208 states/eV/atom. The energy relative to the elements, uncorrected comes out at -1024 meV per atom. Its final energy is -5.328 eV per atom.

Cell lengths 7.754, 6.526, 9.652 Å; angles 90.00, 107.46, 90.00 degrees
Sites, in units of the cell vectors:
Ba: 0.245 0.250 0.059
Ba: 0.755 0.750 0.941
Y: 0.269 0.250 0.562
Y: 0.731 0.750 0.438
Mn: 0.261 0.750 0.323
Mn: 0.739 0.250 0.677
Te: 0.019 0.508 0.717
Te: 0.019 0.992 0.717
Te: 0.437 0.750 0.129
Te: 0.438 0.750 0.601
Te: 0.562 0.250 0.399
Te: 0.563 0.250 0.871
Te: 0.981 0.008 0.283
Te: 0.981 0.492 0.283

Entry 6:
# AlIrAu4

AlIrAu4 after structural relaxation (PBE, the Alexandria database).

The space group is No. 216. For the density of states at the Fermi level, the calculation gives 0.542 states/eV/atom. The calculation puts the energy of formation at 0.469 eV/atom. Its final energy is -3.816 eV per atom.

Cell lengths 5.388, 5.388, 5.388 Å; angles 60.00, 60.00, 60.00 degrees
Sites, in units of the cell vectors:
Al: 0.000 0.000 0.000
Ir: 0.250 0.250 0.250
Au: 0.125 0.625 0.625
Au: 0.625 0.125 0.625
Au: 0.625 0.625 0.125
Au: 0.625 0.625 0.625

Entry 7:
# Rb5H3Cl2

Rb5H3Cl2 after structural relaxation (PBE, the Alexandria database).

The space group is No. 12. For the density of states at the Fermi level, the calculation gives 0.000 states/eV/atom. Its final energy is -2.722 eV per atom.

Cell lengths 8.083, 8.083, 11.204 Å; angles 123.59, 123.59, 31.88 degrees
Sites, in units of the cell vectors:
Rb: 0.000 0.000 0.000
Rb: 0.089 0.089 0.410
Rb: 0.305 0.305 0.187
Rb: 0.695 0.695 0.813
Rb: 0.911 0.911 0.590
H: 0.114 0.114 0.875
H: 0.500 0.500 0.500
H: 0.886 0.886 0.125
Cl: 0.328 0.328 0.733
Cl: 0.672 0.672 0.267

Entry 8:
# BaTcIO4

BaTcIO4 after structural relaxation (PBE, the Alexandria database).

The space group is No. 12. The energy relative to the elements, uncorrected comes out at -1785 meV per atom. Its final energy is -6.595 eV per atom.

Cell lengths 7.127, 7.127, 7.917 Å; angles 101.33, 101.33, 69.44 degrees
Sites, in units of the cell vectors:
Ba: 0.235 0.235 0.159
Ba: 0.765 0.765 0.841
Tc: 0.370 0.370 0.745
Tc: 0.630 0.630 0.255
I: 0.042 0.042 0.756
I: 0.958 0.958 0.244
O: 0.155 0.503 0.848
O: 0.307 0.307 0.523
O: 0.478 0.478 0.223
O: 0.497 0.845 0.152
O: 0.503 0.155 0.848
O: 0.522 0.522 0.777
O: 0.693 0.693 0.477
O: 0.845 0.497 0.152